Computed, not measured: an optimized crystal structure of Li3V2P4H2O16 at the GGA+U level of DFT. Values from VASP.

Cell and atoms, written as Quantum ESPRESSO input:
```
&SYSTEM
  ibrav = 0, nat = 81, ntyp = 5
/
ATOMIC_SPECIES
Li 6.94 Li.upf
V 50.94 V.upf
P 30.97 P.upf
H 1.01 H.upf
O 16.00 O.upf
CELL_PARAMETERS angstrom
7.9036 0.0000 0.0000
0.0215 8.0701 0.0000
2.3804 0.0490 13.5421
ATOMIC_POSITIONS crystal
Li 0.0000 0.0000 0.0000
Li 0.0608 0.2491 0.6288
Li 0.1641 0.7491 0.3330
Li 0.3383 0.9892 0.6620
Li 0.5007 0.7684 0.9964
Li 0.5655 0.4824 0.6346
Li 0.6664 0.9804 0.3315
Li 0.7297 0.2562 0.9661
Li 0.8942 0.4990 0.2987
V 0.0383 0.1275 0.3150
V 0.1833 0.6233 0.6477
V 0.3610 0.1347 0.9810
V 0.5285 0.6175 0.3145
V 0.7017 0.1128 0.6513
V 0.8745 0.6251 0.9822
P 0.0912 0.9676 0.5245
P 0.1356 0.4686 0.4378
P 0.2462 0.7788 0.8589
P 0.3107 0.2781 0.7698
P 0.4111 0.9761 0.1957
P 0.4864 0.4794 0.1003
P 0.5765 0.7672 0.5301
P 0.6516 0.2686 0.4354
P 0.7549 0.9734 0.8624
P 0.8103 0.4709 0.7708
P 0.9236 0.7798 0.1933
P 0.9710 0.2832 0.1067
H 0.0470 0.1340 0.8098
H 0.2293 0.6220 0.1370
H 0.3929 0.1268 0.4724
H 0.5119 0.6323 0.8205
H 0.6720 0.1222 0.1571
H 0.8341 0.6244 0.4928
O 0.0824 0.6827 0.2113
O 0.0834 0.9505 0.4119
O 0.0898 0.6704 0.9065
O 0.0948 0.7905 0.5680
O 0.1264 0.1813 0.0556
O 0.1279 0.2918 0.3955
O 0.1441 0.4495 0.5506
O 0.1461 0.1794 0.7516
O 0.2366 0.9433 0.9144
O 0.2377 0.7976 0.7474
O 0.2493 0.0641 0.5443
O 0.2538 0.0865 0.2409
O 0.2949 0.5648 0.3873
O 0.3093 0.4459 0.7155
O 0.3159 0.2981 0.8793
O 0.3307 0.5887 0.0815
O 0.4005 0.8132 0.2534
O 0.4064 0.9574 0.0849
O 0.4173 0.6623 0.5789
O 0.4168 0.6936 0.8743
O 0.4619 0.1715 0.7176
O 0.4903 0.3154 0.0455
O 0.4933 0.4581 0.2097
O 0.4941 0.1637 0.4171
O 0.5741 0.9321 0.5840
O 0.5747 0.7896 0.4190
O 0.5802 0.0628 0.2124
O 0.5973 0.0747 0.9139
O 0.6435 0.5553 0.7571
O 0.6440 0.5868 0.0494
O 0.6555 0.2883 0.5465
O 0.6585 0.4336 0.3806
O 0.7313 0.6575 0.5486
O 0.7444 0.9530 0.7525
O 0.7524 0.8011 0.9141
O 0.7636 0.6820 0.2433
O 0.8072 0.1579 0.3868
O 0.8098 0.1888 0.0894
O 0.8275 0.3039 0.7161
O 0.8274 0.4518 0.8819
O 0.9148 0.0708 0.8803
O 0.9165 0.8006 0.0805
O 0.9201 0.9538 0.2422
O 0.9333 0.0668 0.5748
O 0.9673 0.4594 0.0617
O 0.9730 0.5772 0.7226
O 0.9783 0.5688 0.4194
O 0.9826 0.3012 0.2189
```

polymorph energy (0 for the lowest one)	1.3	meV per atom
uncorrected energy	-185.496	eV per formula unit